Below is crystalline Ti4CoN at its relaxed geometry, with properties calculated at the PBE level.

Structure (CIF):
```
data_Ti4CoN
_chemical_formula_sum 'Ti16 Co4 N4'
_space_group_name_H-M_alt 'I 41 m d'
_space_group_IT_number 109
_space_group_name_Hall 'I 4bw -2'
_cell_length_a 7.242
_cell_length_b 7.242
_cell_length_c 6.770
_cell_angle_alpha 90.00
_cell_angle_beta 90.00
_cell_angle_gamma 90.00
loop_
_atom_site_label
_atom_site_type_symbol
_atom_site_fract_x
_atom_site_fract_y
_atom_site_fract_z
Ti1 Ti 0.000 0.291 0.000
Ti2 Ti 0.000 0.304 0.436
Co1 Co 0.000 0.000 0.482
N1 N 0.000 0.000 0.955
```

Values from the calculation:
- Crystal system: tetragonal

---

Below is crystalline Ca2Zn4InGa3 at its relaxed geometry, with properties calculated at the PBE level.

Structure (CIF):
```
data_Ca2Zn4InGa3
_chemical_formula_sum 'Ca2 Zn4 In1 Ga3'
_space_group_name_H-M_alt 'P -4 m 2'
_space_group_IT_number 115
_cell_length_a 4.269
_cell_length_b 4.269
_cell_length_c 11.192
_cell_angle_alpha 90.00
_cell_angle_beta 90.00
_cell_angle_gamma 90.00
loop_
_space_group_symop_operation_xyz
'x,y,z'
'y,-x,-z'
'-x,-y,z'
'-y,x,-z'
'-x,y,z'
'-y,-x,-z'
'x,-y,z'
'y,x,-z'
loop_
_atom_site_label
_atom_site_type_symbol
_atom_site_fract_x
_atom_site_fract_y
_atom_site_fract_z
Ca1 Ca 0.000 0.500 0.237
Zn1 Zn 0.000 0.000 0.000
Zn2 Zn 0.000 0.500 0.649
Zn3 Zn 0.500 0.500 0.000
In1 In 0.000 0.000 0.500
Ga1 Ga 0.000 0.500 0.870
Ga2 Ga 0.500 0.500 0.500
```

Values from the calculation:
- Calculated formation energy: -0.306 eV/atom
- Crystal system: tetragonal

---

Below is crystalline Sr2LiMn at its relaxed geometry, with properties calculated at the PBE level.

Structure (CIF):
```
data_Sr2LiMn
_chemical_formula_sum 'Sr2 Li1 Mn1'
_space_group_name_H-M_alt 'P 4/m m m'
_space_group_IT_number 123
_space_group_name_Hall '-P 4 2'
_cell_length_a 5.727
_cell_length_b 5.727
_cell_length_c 4.052
_cell_angle_alpha 90.00
_cell_angle_beta 90.00
_cell_angle_gamma 90.00
loop_
_atom_site_label
_atom_site_type_symbol
_atom_site_fract_x
_atom_site_fract_y
_atom_site_fract_z
Sr1 Sr 0.000 0.500 0.000
Li1 Li 0.000 0.000 0.500
Mn1 Mn 0.500 0.500 0.500
```

Values from the calculation:
- Calculated formation energy: 0.341 eV/atom
- Energy relative to the lowest polymorph listed for this composition: 6 kJ/mol of formula units
- Crystal system: tetragonal

---

Below is crystalline Sn3IO3 at its relaxed geometry, with properties calculated at the PBE level.

Structure (CIF):
```
data_Sn3IO3
_chemical_formula_sum 'Sn18 I6 O18'
_space_group_name_H-M_alt 'R -3'
_space_group_IT_number 148
_space_group_name_Hall '-R 3'
_cell_length_a 7.6312
_cell_length_b 7.6312
_cell_length_c 22.5965
_cell_angle_alpha 90.00
_cell_angle_beta 90.00
_cell_angle_gamma 120.00
loop_
_atom_site_label
_atom_site_type_symbol
_atom_site_fract_x
_atom_site_fract_y
_atom_site_fract_z
Sn1 Sn 0.0178 0.7265 0.2741
I1 I 0.0000 0.0000 0.1563
O1 O 0.0192 0.7730 0.6926
```

Values from the calculation:
- Crystal system: trigonal

---

Below is crystalline MgAlBBr2 at its relaxed geometry, with properties calculated at the PBE level.

Structure (CIF):
```
data_MgAlBBr2
_chemical_formula_sum 'Mg1 Al1 B1 Br2'
_space_group_name_H-M_alt 'P 4/m m m'
_space_group_IT_number 123
_space_group_name_Hall '-P 4 2'
_cell_length_a 5.411
_cell_length_b 5.411
_cell_length_c 4.150
_cell_angle_alpha 90.00
_cell_angle_beta 90.00
_cell_angle_gamma 90.00
loop_
_atom_site_label
_atom_site_type_symbol
_atom_site_fract_x
_atom_site_fract_y
_atom_site_fract_z
Mg1 Mg 0.000 0.000 0.000
Al1 Al 0.500 0.500 0.500
B1 B 0.500 0.500 0.000
Br1 Br 0.000 0.500 0.500
```

Values from the calculation:
- Crystal system: tetragonal

---

Below is crystalline CdAgIr2 at its relaxed geometry, with properties calculated at the PBE level.

Structure (CIF):
```
data_CdAgIr2
_chemical_formula_sum 'Cd1 Ag1 Ir2'
_space_group_name_H-M_alt 'P 1 2/m 1'
_space_group_IT_number 10
_cell_length_a 4.861
_cell_length_b 2.830
_cell_length_c 4.984
_cell_angle_alpha 90.00
_cell_angle_beta 108.06
_cell_angle_gamma 90.00
loop_
_space_group_symop_operation_xyz
'x,y,z'
'-x,-y,-z'
'-x,y,-z'
'x,-y,z'
loop_
_atom_site_label
_atom_site_type_symbol
_atom_site_fract_x
_atom_site_fract_y
_atom_site_fract_z
Cd1 Cd 0.000 0.000 0.000
Ag1 Ag 0.500 0.500 0.000
Ir1 Ir 0.000 0.500 0.500
Ir2 Ir 0.500 0.000 0.500
```

Values from the calculation:
- Calculated formation energy: 0.270 eV/atom
- Crystal system: monoclinic

---

Below is crystalline CaAs2Se at its relaxed geometry, with properties calculated at the PBE level.

Structure (CIF):
```
data_CaAs2Se
_chemical_formula_sum 'Ca1 As2 Se1'
_space_group_name_H-M_alt 'P 4/m m m'
_space_group_IT_number 123
_space_group_name_Hall '-P 4 2'
_cell_length_a 3.921
_cell_length_b 3.921
_cell_length_c 6.194
_cell_angle_alpha 90.00
_cell_angle_beta 90.00
_cell_angle_gamma 90.00
loop_
_atom_site_label
_atom_site_type_symbol
_atom_site_fract_x
_atom_site_fract_y
_atom_site_fract_z
Ca1 Ca 0.000 0.000 0.000
As1 As 0.000 0.500 0.500
Se1 Se 0.500 0.500 0.000
```

Values from the calculation:
- Crystal system: tetragonal

---

Below is crystalline KSc2Ni at its relaxed geometry, with properties calculated at the PBE level.

Structure (CIF):
```
data_KSc2Ni
_chemical_formula_sum 'K4 Sc8 Ni4'
_space_group_name_H-M_alt 'F m -3 m'
_space_group_IT_number 225
_space_group_name_Hall '-F 4 2 3'
_cell_length_a 6.999
_cell_length_b 6.999
_cell_length_c 6.999
_cell_angle_alpha 90.00
_cell_angle_beta 90.00
_cell_angle_gamma 90.00
loop_
_atom_site_label
_atom_site_type_symbol
_atom_site_fract_x
_atom_site_fract_y
_atom_site_fract_z
K1 K 0.000 0.000 0.000
Sc1 Sc 0.250 0.250 0.250
Ni1 Ni 0.000 0.000 0.500
```

Values from the calculation:
- Calculated formation energy: 0.552 eV/atom
- Energy relative to the lowest polymorph listed for this composition: 192 kJ/mol of formula units
- Crystal system: cubic

---

Below is crystalline PmB2Os at its relaxed geometry, with properties calculated at the PBE level.

Structure (CIF):
```
data_PmB2Os
_chemical_formula_sum 'Pm2 B4 Os2'
_space_group_name_H-M_alt 'P 1 21/m 1'
_space_group_IT_number 11
_cell_length_a 4.335
_cell_length_b 3.222
_cell_length_c 7.852
_cell_angle_alpha 90.00
_cell_angle_beta 99.17
_cell_angle_gamma 90.00
loop_
_space_group_symop_operation_xyz
'x,y,z'
'-x,-y,-z'
'-x,y+1/2,-z'
'x,-y+1/2,z'
loop_
_atom_site_label
_atom_site_type_symbol
_atom_site_fract_x
_atom_site_fract_y
_atom_site_fract_z
Pm1 Pm 0.055 0.250 0.193
B1 B 0.124 0.750 0.477
B2 B 0.484 0.250 0.942
Os1 Os 0.395 0.250 0.618
```

Values from the calculation:
- Calculated formation energy: -0.285 eV/atom
- Energy relative to the lowest polymorph listed for this composition: 21 kJ/mol of formula units
- Crystal system: monoclinic

---

Below is crystalline ZrGaH at its relaxed geometry, with properties calculated at the PBE level.

Structure (CIF):
```
data_ZrGaH
_chemical_formula_sum 'Zr4 Ga4 H4'
_space_group_name_H-M_alt 'P n m a'
_space_group_IT_number 62
_cell_length_a 7.194
_cell_length_b 3.880
_cell_length_c 5.634
_cell_angle_alpha 90.00
_cell_angle_beta 90.00
_cell_angle_gamma 90.00
loop_
_space_group_symop_operation_xyz
'x,y,z'
'-x,-y,-z'
'-x+1/2,-y,z+1/2'
'x+1/2,y,-z+1/2'
'x+1/2,-y+1/2,-z+1/2'
'-x+1/2,y+1/2,z+1/2'
'-x,y+1/2,-z'
'x,-y+1/2,z'
loop_
_atom_site_label
_atom_site_type_symbol
_atom_site_fract_x
_atom_site_fract_y
_atom_site_fract_z
Zr1 Zr 0.169 0.250 0.114
Ga1 Ga 0.040 0.250 0.627
H1 H 0.122 0.750 0.947
```

Values from the calculation:
- Energy relative to the lowest polymorph listed for this composition: 0 kJ/mol of formula units
- Crystal system: orthorhombic

---

Below is crystalline SmGdHoPu at its relaxed geometry, with properties calculated at the PBE level.

Structure (CIF):
```
data_SmGdHoPu
_chemical_formula_sum 'Sm4 Gd4 Ho4 Pu4'
_space_group_name_H-M_alt 'F -4 3 m'
_space_group_IT_number 216
_space_group_name_Hall 'F -4 2 3'
_cell_length_a 7.928
_cell_length_b 7.928
_cell_length_c 7.928
_cell_angle_alpha 90.00
_cell_angle_beta 90.00
_cell_angle_gamma 90.00
loop_
_atom_site_label
_atom_site_type_symbol
_atom_site_fract_x
_atom_site_fract_y
_atom_site_fract_z
Sm1 Sm 0.000 0.000 0.000
Gd1 Gd 0.000 0.000 0.500
Ho1 Ho 0.250 0.250 0.250
Pu1 Pu 0.250 0.250 0.750
```

Values from the calculation:
- Calculated formation energy: 0.201 eV/atom
- Crystal system: cubic

---

Below is crystalline Rb2NiPdS4 at its relaxed geometry, with properties calculated at the PBE level.

Structure (CIF):
```
data_Rb2NiPdS4
_chemical_formula_sum 'Rb16 Ni8 Pd8 S32'
_space_group_name_H-M_alt 'F d d d'
_space_group_IT_number 70
_cell_length_a 5.716
_cell_length_b 13.366
_cell_length_c 22.248
_cell_angle_alpha 90.00
_cell_angle_beta 90.00
_cell_angle_gamma 90.00
loop_
_space_group_symop_operation_xyz
'x,y,z'
'-x,-y,-z'
'-x+1/4,-y+1/4,z'
'x+1/4,y+1/4,-z'
'x,-y+1/4,-z+1/4'
'-x,y+1/4,z+1/4'
'-x+1/4,y,-z+1/4'
'x+1/4,-y,z+1/4'
'x,y+1/2,z+1/2'
'-x,-y+1/2,-z+1/2'
'-x+1/4,-y+3/4,z+1/2'
'x+1/4,y+3/4,-z+1/2'
'x,-y+3/4,-z+3/4'
'-x,y+3/4,z+3/4'
'-x+1/4,y+1/2,-z+3/4'
'x+1/4,-y+1/2,z+3/4'
'x+1/2,y,z+1/2'
'-x+1/2,-y,-z+1/2'
'-x+3/4,-y+1/4,z+1/2'
'x+3/4,y+1/4,-z+1/2'
'x+1/2,-y+1/4,-z+3/4'
'-x+1/2,y+1/4,z+3/4'
'-x+3/4,y,-z+3/4'
'x+3/4,-y,z+3/4'
'x+1/2,y+1/2,z'
'-x+1/2,-y+1/2,-z'
'-x+3/4,-y+3/4,z'
'x+3/4,y+3/4,-z'
'x+1/2,-y+3/4,-z+1/4'
'-x+1/2,y+3/4,z+1/4'
'-x+3/4,y+1/2,-z+1/4'
'x+3/4,-y+1/2,z+1/4'
loop_
_atom_site_label
_atom_site_type_symbol
_atom_site_fract_x
_atom_site_fract_y
_atom_site_fract_z
Rb1 Rb 0.125 0.125 0.307
Ni1 Ni 0.125 0.125 0.625
Pd1 Pd 0.125 0.125 0.125
S1 S 0.102 0.285 0.818
```

Values from the calculation:
- Crystal system: orthorhombic

---

Number 1: total energy -50.062 eV per formula unit, V 14.79 Å³/atom. Number 2: total energy -23.976 eV per formula unit, V 20.40 Å³/atom. Number 3: total energy -13.082 eV per formula unit, V 33.22 Å³/atom. Number 4: total energy -35.859 eV per formula unit, V 27.13 Å³/atom. Number 5: total energy -13.859 eV per formula unit, V 24.31 Å³/atom. Number 6: total energy -20.410 eV per formula unit, V 16.30 Å³/atom. Number 7: total energy -16.853 eV per formula unit, V 23.81 Å³/atom. Number 8: total energy -17.335 eV per formula unit, V 21.43 Å³/atom. Number 9: total energy -30.477 eV per formula unit, V 13.53 Å³/atom. Number 10: total energy -16.635 eV per formula unit, V 13.10 Å³/atom. Number 11: total energy -36.904 eV per formula unit, V 31.15 Å³/atom. Number 12: total energy -33.693 eV per formula unit, V 26.56 Å³/atom.